Computed, not measured: a relaxed structure of PaCo2 at the PBE level of DFT.

Properties
As for the space group: C2/m, No. 12. As for the formation energy: -118.5 meV per atom.

POSCAR file:
```
PaCo2
1.0
3.490 0.006 0.023
0.006 3.490 0.023
-1.722 -1.722 3.793
Co Pa
2 1
Direct
0.181 0.181 0.357
0.819 0.819 0.643
0.500 0.500 0.000
```

=====

Computed, not measured: a relaxed structure of ZrB3Mo at the PBE level of DFT.

Properties
As for the space group: Pm-3m, No. 221. As for the formation energy: 1942.8 meV per atom.

POSCAR file:
```
ZrB3Mo
1.0
4.142 0.000 0.000
0.000 4.142 0.000
0.000 0.000 4.142
Zr B Mo
1 3 1
Direct
0.000 0.000 0.000
0.000 0.000 0.500
0.500 0.000 0.000
0.000 0.500 0.000
0.500 0.500 0.500
```

=====

Computed, not measured: a relaxed structure of KNa6Li at the PBE level of DFT.

Properties
As for the space group: P4/mmm, No. 123. As for the formation energy: 99.0 meV per atom.

POSCAR file:
```
KNa6Li
1.0
5.410 0.000 0.000
0.000 5.410 0.000
0.000 0.000 11.560
Na K Li
6 1 1
Direct
0.500 0.000 0.342
0.500 0.500 0.856
0.000 0.500 0.342
0.000 0.500 0.658
0.500 0.000 0.658
0.500 0.500 0.144
0.000 0.000 0.000
0.000 0.000 0.500
```

=====

Computed, not measured: a relaxed structure of Nd2DyCo at the PBE level of DFT.

Properties
As for the space group: Cmcm, No. 63. As for the formation energy: -63.7 meV per atom.

POSCAR file:
```
Nd2DyCo
1.0
3.752 0.000 0.000
-1.875 5.967 0.000
0.000 0.000 9.854
Co Dy Nd
2 2 4
Direct
0.762 0.525 0.750
0.238 0.475 0.250
0.092 0.184 0.750
0.908 0.816 0.250
0.363 0.725 0.927
0.637 0.275 0.073
0.637 0.275 0.427
0.363 0.725 0.573
```

=====

Computed, not measured: a relaxed structure of LiCa2CdRh at the PBE level of DFT.

Properties
As for the space group: P4/mmm, No. 123. As for the formation energy: -121.1 meV per atom.

POSCAR file:
```
LiCa2CdRh
1.0
5.407 0.000 0.000
0.000 5.407 0.000
0.000 0.000 4.782
Li Ca Cd Rh
1 2 1 1
Direct
0.000 0.000 0.500
0.000 0.500 0.000
0.500 0.000 0.000
0.500 0.500 0.500
0.000 0.000 0.000
```

=====

Computed, not measured: a relaxed structure of Cu4AsRu at the PBE level of DFT.

Properties
As for the space group: F-43m, No. 216. As for the formation energy: 313.0 meV per atom.

POSCAR file:
```
Cu4AsRu
1.0
0.374 -4.717 -0.985
-2.807 -1.990 -3.395
1.930 -1.449 -4.188
Cu As Ru
4 1 1
Direct
0.375 0.874 0.375
0.874 0.375 0.375
0.375 0.375 0.874
0.375 0.375 0.375
0.000 0.000 0.000
0.750 0.750 0.750
```

=====

Computed, not measured: a relaxed structure of Tm2Al5Cu12 at the PBE level of DFT.

Properties
As for the space group: R-3m, No. 166. As for the formation energy: -261.9 meV per atom.

POSCAR file:
```
Tm2Al5Cu12
1.0
6.519 0.143 0.704
0.647 6.489 0.704
0.155 0.143 6.555
Cu Al Tm
12 5 2
Direct
0.848 0.349 0.349
0.349 0.349 0.848
0.298 0.702 0.000
0.702 0.000 0.298
0.651 0.152 0.651
0.152 0.651 0.651
0.000 0.702 0.298
0.702 0.298 0.000
0.298 0.000 0.702
0.651 0.651 0.152
0.000 0.298 0.702
0.349 0.848 0.349
0.902 0.902 0.902
0.000 0.500 0.000
0.000 0.000 0.500
0.500 0.000 0.000
0.098 0.098 0.098
0.652 0.652 0.652
0.348 0.348 0.348
```

=====

Computed, not measured: a relaxed structure of Hf2Ta2N3 at the PBE level of DFT.

Properties
As for the space group: P2_1/c, No. 14. The calculation puts the formation energy without anion corrections at -1.19 eV/atom.

POSCAR file:
```
Hf2Ta2N3
1.0
5.353 0.000 0.000
0.000 5.452 2.714
0.000 0.137 6.138
Hf N Ta
4 6 4
Direct
0.166 0.121 0.625
0.666 0.379 0.375
0.334 0.621 0.625
0.834 0.879 0.375
0.508 0.231 0.755
0.000 0.000 0.000
0.492 0.769 0.245
0.008 0.269 0.245
0.500 0.500 0.000
0.992 0.731 0.755
0.828 0.362 0.884
0.672 0.862 0.884
0.172 0.638 0.116
0.328 0.138 0.116
```

=====

Ρ in g cm⁻³, matching the order above: 12.466 5.132 0.903 7.676 3.592 8.947 7.448 14.265
Energy in eV/cell, matching the order above: -24.06 -29.70 -10.13 -43.00 -14.79 -28.43 -81.79 -153.87
Total moment in μB/atom, matching the order above: 0.000 0.000 0.000 0.000 0.000 0.001 0.000 0.000